# La2SiPt2 | the Alexandria database | PBE | optimized geometry
# ΔE_f (raw) in meV per atom: -933
data_La2SiPt2
_symmetry_space_group_name_H-M 'P 1'
_symmetry_Int_Tables_number 1
_symmetry_space_group_name_Hall 'P 1'
_cell_length_a 7.599
_cell_length_b 7.599
_cell_length_c 4.043
_cell_angle_alpha 90.00
_cell_angle_beta 90.00
_cell_angle_gamma 90.00
loop_
_atom_site_label
_atom_site_fract_x
_atom_site_fract_y
_atom_site_fract_z
_atom_site_occupancy
La1 0.177 0.677 0.500 1
Si1 0.500 0.500 0.000 1
Pt1 0.133 0.367 0.000 1
Pt2 0.367 0.867 0.000 1
La2 0.823 0.323 0.500 1
Pt3 0.633 0.133 0.000 1
La3 0.677 0.823 0.500 1
Si2 0.000 0.000 0.000 1
Pt4 0.867 0.633 0.000 1
La4 0.323 0.177 0.500 1

***

# KSm3Y2Te6 | the Alexandria database | PBE | optimized geometry
# ΔE_f (raw) in meV per atom: -1344
data_KSm3Y2Te6
_symmetry_space_group_name_H-M 'P 1'
_symmetry_Int_Tables_number 1
_symmetry_space_group_name_Hall 'P 1'
_cell_length_a 4.432
_cell_length_b 9.062
_cell_length_c 10.012
_cell_angle_alpha 103.25
_cell_angle_beta 102.79
_cell_angle_gamma 90.00
loop_
_atom_site_label
_atom_site_fract_x
_atom_site_fract_y
_atom_site_fract_z
_atom_site_occupancy
K1 0.500 0.000 0.000 1
Te1 0.005 0.262 0.011 1
Y1 0.833 0.659 0.666 1
Te2 0.674 0.089 0.348 1
Y2 0.167 0.341 0.334 1
Te3 0.332 0.421 0.664 1
Sm1 0.841 0.182 0.682 1
Te4 0.668 0.579 0.336 1
Sm2 0.159 0.818 0.318 1
Te5 0.995 0.738 0.989 1
Sm3 0.500 0.500 0.000 1
Te6 0.326 0.911 0.652 1

***

# CaPmNiGe | the Alexandria database | PBE | optimized geometry
# ΔH_f (0 K) in eV/atom: -0.389
data_CaPmNiGe
_symmetry_space_group_name_H-M 'P 1'
_symmetry_Int_Tables_number 1
_symmetry_space_group_name_Hall 'P 1'
_cell_length_a 5.017
_cell_length_b 5.017
_cell_length_c 5.017
_cell_angle_alpha 60.00
_cell_angle_beta 60.00
_cell_angle_gamma 60.00
loop_
_atom_site_label
_atom_site_fract_x
_atom_site_fract_y
_atom_site_fract_z
_atom_site_occupancy
Ge1 0.250 0.250 0.250 1
Ca1 0.500 0.500 0.500 1
Ni1 0.750 0.750 0.750 1
Pm1 0.000 0.000 0.000 1

***

# Ga2GeBi | the Alexandria database | PBE | optimized geometry
# ΔH_f (0 K) in eV/atom: 0.068
data_Ga2GeBi
_symmetry_space_group_name_H-M 'P 1'
_symmetry_Int_Tables_number 1
_symmetry_space_group_name_Hall 'P 1'
_cell_length_a 6.133
_cell_length_b 6.133
_cell_length_c 7.424
_cell_angle_alpha 65.60
_cell_angle_beta 65.60
_cell_angle_gamma 90.00
loop_
_atom_site_label
_atom_site_fract_x
_atom_site_fract_y
_atom_site_fract_z
_atom_site_occupancy
Ga1 0.875 0.833 0.750 1
Bi1 0.750 0.250 0.500 1
Ge1 0.250 0.750 0.500 1
Ga2 0.375 0.417 0.750 1
Bi2 0.000 0.000 0.000 1
Ge2 0.500 0.500 0.000 1
Ga3 0.167 0.625 0.250 1
Ga4 0.583 0.125 0.250 1

***

Number 1: N(E_F) 6.0 states/eV/cell. Number 2: N(E_F) 4.8 states/eV/cell. Number 3: N(E_F) 3.4 states/eV/cell. Number 4: N(E_F) 5.3 states/eV/cell.